The following is a DFT calculation (PBE) of a relaxed structure of SrCa3Pd.

Geometry as CIF:
```
data_SrCa3Pd
_chemical_formula_sum 'Sr2 Ca6 Pd2'
_space_group_name_H-M_alt 'P 1'
_space_group_IT_number 1
_space_group_name_Hall 'P 1'
_cell_length_a 13.5767
_cell_length_b 13.5767
_cell_length_c 6.8960
_cell_angle_alpha 90.00
_cell_angle_beta 90.00
_cell_angle_gamma 162.98
loop_
_atom_site_label
_atom_site_type_symbol
_atom_site_fract_x
_atom_site_fract_y
_atom_site_fract_z
Sr1 Sr 0.0506 0.9494 0.7500
Sr2 Sr 0.9494 0.0506 0.2500
Ca1 Ca 0.1888 0.8112 0.5075
Ca2 Ca 0.1888 0.8112 0.9925
Ca3 Ca 0.4119 0.5881 0.7500
Ca4 Ca 0.5881 0.4119 0.2500
Ca5 Ca 0.8112 0.1888 0.0075
Ca6 Ca 0.8112 0.1888 0.4925
Pd1 Pd 0.3635 0.6365 0.2500
Pd2 Pd 0.6365 0.3635 0.7500
```

Summary:
As for the calculated total energy: -28.3 eV/cell. As for the space group: Cmcm (63). The calculation puts the formation energy from the elements at -252 meV/atom.